# 1
{
  "formula": "SrFe2Mo",
  "functional": "GGA-PBE",
  "state": "relaxed",
  "lattice_angstrom": [[0.000, 3.188, 3.188], [3.188, 0.000, 3.188], [3.188, 3.188, 0.000]],
  "species": ["Sr", "Mo", "Fe", "Fe"],
  "frac_coords": [[0.000, 0.000, 0.000], [0.500, 0.500, 0.500], [0.250, 0.250, 0.250], [0.750, 0.750, 0.750]],
  "e_tot_ev_per_atom": -6.316,
  "total_magnetization_mub_per_cell": 0.0,
  "e_above_lowest_polymorph_kcal_per_mol_atoms": 13.36,
  "e_form_ev_per_atom": 1.0436,
  "spacegroup": "Fm-3m, No. 225",
  "crystal_system": "cubic"
}

# 2
{
  "formula": "GaHgGeBi",
  "functional": "GGA-PBE",
  "state": "relaxed",
  "lattice_angstrom": [[5.208, 0.000, 0.000], [2.604, 4.511, 0.000], [2.604, 1.504, 4.253]],
  "species": ["Ge", "Bi", "Ga", "Hg"],
  "frac_coords": [[0.000, 0.000, 0.000], [0.250, 0.250, 0.250], [0.500, 0.500, 0.500], [0.750, 0.750, 0.750]],
  "e_tot_ev_per_atom": -2.743,
  "total_magnetization_mub_per_cell": 0.0,
  "e_form_ev_per_atom": 0.2137,
  "spacegroup": "F-43m, No. 216",
  "crystal_system": "cubic"
}

# 3
{
  "formula": "InPCN2",
  "functional": "GGA-PBE",
  "state": "relaxed",
  "lattice_angstrom": [[-1.544, -0.507, 3.879], [4.144, -0.661, 1.563], [0.396, 4.129, 0.697]],
  "species": ["P", "C", "N", "N", "In"],
  "frac_coords": [[0.500, 0.500, 0.500], [0.000, 0.500, 0.000], [0.000, 0.000, 0.500], [0.500, 0.000, 0.000], [0.000, 0.000, 0.000]],
  "e_tot_ev_per_atom": -4.022,
  "total_magnetization_mub_per_cell": 3.0,
  "raw_formation_energy_mev_per_atom": 2783,
  "spacegroup": "P4/mmm, No. 123",
  "crystal_system": "tetragonal"
}